The following is a PBE-GGA calculation of a relaxed DyAg2Sn crystal, from Alexandria.

a = 4.5142 Å, b = 4.4551 Å, c = 4.4551 Å
α = 90.00°, β = 90.00°, γ = 90.00°
Closest atoms and distances in Å follow each position.
Positions (direct):
1 Ag 0.0000 0.5000 0.0000  4 Ag 3.15, 4 Dy 3.17, 4 Sn 3.17
2 Ag 0.0000 0.0000 0.5000  4 Ag 3.15, 4 Dy 3.17, 4 Sn 3.17
3 Dy 0.5000 0.5000 0.5000  4 Sn 3.15, 8 Ag 3.17
4 Sn 0.5000 0.0000 0.0000  4 Dy 3.15, 8 Ag 3.17

## Properties
formation enthalpy at 0 K: -0.305 eV/atom

The following is a PBE-GGA calculation of a relaxed DyAg6Sn6 crystal, from Alexandria.

a = 5.8849 Å, b = 7.6483 Å, c = 7.6483 Å
α = 78.43°, β = 67.37°, γ = 67.37°
Closest atoms and distances in Å follow each position.
Positions (direct):
1 Sn 0.3267 0.6733 0.6733  6 Ag 2.94-2.96
2 Sn 0.6733 0.3267 0.3267  6 Ag 2.94-2.96
3 Sn 0.6584 0.8416 0.8416  6 Ag 2.96-2.98, 1 Sn 3.26
4 Sn 0.0000 0.3450 0.6550  1 Sn 3.00, 6 Ag 3.07-3.10, 1 Dy 3.34
5 Sn 0.0000 0.6550 0.3450  1 Sn 3.00, 6 Ag 3.07-3.10, 1 Dy 3.34
6 Sn 0.3416 0.1584 0.1584  6 Ag 2.96-2.98, 1 Sn 3.26
7 Ag 0.0000 0.0000 0.5000  6 Sn 2.94-3.10, 4 Ag 2.94-2.96
8 Ag 0.5000 0.7442 0.2558  6 Sn 2.96-3.07, 4 Ag 2.96
9 Ag 0.5000 0.5000 0.0000  6 Sn 2.94-3.10, 4 Ag 2.94-2.96
10 Ag 0.5000 0.0000 0.5000  6 Sn 2.94-3.10, 4 Ag 2.94-2.96
11 Ag 0.0000 0.5000 0.0000  6 Sn 2.94-3.10, 4 Ag 2.94-2.96
12 Ag 0.5000 0.2558 0.7442  6 Sn 2.96-3.07, 4 Ag 2.96
13 Dy 0.0000 0.0000 0.0000  8 Sn 3.34-3.36

## Properties
formation enthalpy at 0 K: -0.091 eV/atom

The following is a PBE-GGA calculation of a relaxed Dy8Ag2Sn crystal, from Alexandria.

a = 5.4430 Å, b = 8.3035 Å, c = 8.3035 Å
α = 116.79°, β = 99.74°, γ = 99.74°
Closest atoms and distances in Å follow each position.
Positions (direct):
1 Dy 0.8993 0.9108 0.6785  2 Ag 3.00-3.17, 1 Dy 3.29
2 Dy 0.5000 0.7692 0.2308  2 Ag 2.92, 1 Sn 3.26
3 Dy 0.1007 0.3215 0.0892  2 Ag 3.00-3.17, 1 Dy 3.29
4 Dy 0.1007 0.0892 0.3215  2 Ag 3.00-3.17, 1 Dy 3.29
5 Dy 0.3038 0.6034 0.6034  2 Ag 3.19, 6 Dy 3.21-3.56, 1 Sn 3.27
6 Dy 0.5000 0.2308 0.7692  2 Ag 2.92, 1 Sn 3.26
7 Dy 0.6962 0.3966 0.3966  2 Ag 3.19, 6 Dy 3.21-3.56, 1 Sn 3.27
8 Dy 0.8993 0.6785 0.9108  2 Ag 3.00-3.17, 1 Dy 3.29
9 Ag 0.0000 0.3055 0.6945  8 Dy 2.92-3.19
10 Ag 0.0000 0.6945 0.3055  8 Dy 2.92-3.19
11 Sn 0.5000 0.0000 0.0000  12 Dy 3.26-3.62

## Properties
formation enthalpy at 0 K: -0.124 eV/atom

The following is a PBE-GGA calculation of a relaxed SrDyAgSn crystal, from Alexandria.

a = 5.4229 Å, b = 5.4229 Å, c = 5.4229 Å
α = 60.00°, β = 60.00°, γ = 60.00°
Closest atoms and distances in Å follow each position.
Positions (direct):
1 Sn 0.2500 0.2500 0.2500  4 Dy 3.32, 4 Sr 3.32
2 Ag 0.7500 0.7500 0.7500  4 Sr 3.32, 4 Dy 3.32
3 Dy 0.5000 0.5000 0.5000  4 Ag 3.32, 4 Sn 3.32
4 Sr 0.0000 0.0000 0.0000  4 Sn 3.32, 4 Ag 3.32

## Properties
formation enthalpy at 0 K: -0.464 eV/atom

The following is a PBE-GGA calculation of a relaxed TbDyAgSn crystal, from Alexandria.

a = 5.2409 Å, b = 5.2409 Å, c = 5.2409 Å
α = 60.00°, β = 60.00°, γ = 60.00°
Closest atoms and distances in Å follow each position.
Positions (direct):
1 Ag 0.7500 0.7500 0.7500  4 Dy 3.21, 4 Tb 3.21
2 Tb 0.5000 0.5000 0.5000  4 Ag 3.21, 4 Sn 3.21
3 Dy 0.0000 0.0000 0.0000  4 Ag 3.21, 4 Sn 3.21
4 Sn 0.2500 0.2500 0.2500  4 Tb 3.21, 4 Dy 3.21

## Properties
formation enthalpy at 0 K: -0.513 eV/atom

The following is a PBE-GGA calculation of a relaxed DyAgSn2Te4 crystal, from Alexandria.

a = 4.4336 Å, b = 7.6624 Å, c = 7.8081 Å
α = 109.77°, β = 90.00°, γ = 90.00°
Closest atoms and distances in Å follow each position.
Positions (direct):
1 Sn 0.5000 0.0000 0.5000  6 Te 3.19-3.23
2 Sn 0.0000 0.5000 0.5000  6 Te 3.18-3.22
3 Dy 0.5000 0.5000 0.0000  6 Te 3.10
4 Te 0.5000 0.2427 0.2333  2 Ag 3.07, 1 Dy 3.10, 3 Sn 3.22-3.23
5 Te 0.0000 0.7440 0.2417  2 Dy 3.10, 1 Ag 3.15, 3 Sn 3.18-3.19
6 Te 0.0000 0.2560 0.7583  2 Dy 3.10, 1 Ag 3.15, 3 Sn 3.18-3.19
7 Te 0.5000 0.7573 0.7667  2 Ag 3.07, 1 Dy 3.10, 3 Sn 3.22-3.23
8 Ag 0.0000 0.0000 0.0000  6 Te 3.07-3.15

## Properties
ΔE_f (raw): -4.240 eV per formula unit

The following is a PBE-GGA calculation of a relaxed DyAgSnTe3 crystal, from Alexandria.

a = 4.3378 Å, b = 8.8958 Å, c = 9.8581 Å
α = 104.40°, β = 90.00°, γ = 90.00°
Closest atoms and distances in Å follow each position.
Positions (direct):
1 Sn 0.2500 0.1921 0.2429  7 Te 3.27-3.53
2 Sn 0.7500 0.8079 0.7571  7 Te 3.27-3.53
3 Te 0.2500 0.0921 0.8733  1 Ag 2.83, 2 Dy 3.10
4 Te 0.2500 0.5749 0.8471  3 Dy 3.09-3.13, 2 Sn 3.27
5 Te 0.2500 0.7398 0.4960  3 Ag 2.90-2.98, 1 Dy 3.07
6 Te 0.7500 0.9079 0.1267  1 Ag 2.83, 2 Dy 3.10
7 Te 0.7500 0.4251 0.1529  3 Dy 3.09-3.13, 2 Sn 3.27
8 Te 0.7500 0.2602 0.5040  3 Ag 2.90-2.98, 1 Dy 3.07
9 Ag 0.7500 0.9149 0.4153  4 Te 2.83-2.98, 2 Ag 2.92
10 Ag 0.2500 0.0851 0.5847  4 Te 2.83-2.98, 2 Ag 2.92
11 Dy 0.2500 0.6778 0.1750  6 Te 3.07-3.13
12 Dy 0.7500 0.3222 0.8250  6 Te 3.07-3.13

## Properties
ΔE_f (raw): -3.988 eV per formula unit

The following is a PBE-GGA calculation of a relaxed Dy2AgSn3Te6 crystal, from Alexandria.

a = 4.3898 Å, b = 8.9952 Å, c = 10.0773 Å
α = 103.56°, β = 102.58°, γ = 90.00°
Closest atoms and distances in Å follow each position.
Positions (direct):
1 Dy 0.1671 0.3405 0.3343  6 Te 3.06-3.14
2 Dy 0.8329 0.6595 0.6657  6 Te 3.06-3.14
3 Sn 0.1596 0.8453 0.3192  6 Te 3.13-3.25
4 Sn 0.8404 0.1547 0.6808  6 Te 3.13-3.25
5 Sn 0.5000 0.5000 0.0000  6 Te 3.22-3.26
6 Te 0.6686 0.5841 0.3372  3 Dy 3.10-3.14, 3 Sn 3.22-3.25
7 Te 0.3255 0.9001 0.6510  2 Dy 3.11, 3 Sn 3.13-3.18, 1 Ag 3.33
8 Te 0.0072 0.2362 0.0145  2 Ag 3.03, 1 Dy 3.06, 3 Sn 3.19-3.26
9 Te 0.3314 0.4159 0.6628  3 Dy 3.10-3.14, 3 Sn 3.22-3.25
10 Te 0.6745 0.0999 0.3490  2 Dy 3.11, 3 Sn 3.13-3.18, 1 Ag 3.33
11 Te 0.9928 0.7638 0.9855  2 Ag 3.03, 1 Dy 3.06, 3 Sn 3.19-3.26
12 Ag 0.5000 0.0000 0.0000  6 Te 3.03-3.33

## Properties
ΔE_f (raw): -7.084 eV per formula unit

Copy entry 6 word for word.
The following is a PBE-GGA calculation of a relaxed DyAgSn2Te4 crystal, from Alexandria.

a = 4.4336 Å, b = 7.6624 Å, c = 7.8081 Å
α = 109.77°, β = 90.00°, γ = 90.00°
Closest atoms and distances in Å follow each position.
Positions (direct):
1 Sn 0.5000 0.0000 0.5000  6 Te 3.19-3.23
2 Sn 0.0000 0.5000 0.5000  6 Te 3.18-3.22
3 Dy 0.5000 0.5000 0.0000  6 Te 3.10
4 Te 0.5000 0.2427 0.2333  2 Ag 3.07, 1 Dy 3.10, 3 Sn 3.22-3.23
5 Te 0.0000 0.7440 0.2417  2 Dy 3.10, 1 Ag 3.15, 3 Sn 3.18-3.19
6 Te 0.0000 0.2560 0.7583  2 Dy 3.10, 1 Ag 3.15, 3 Sn 3.18-3.19
7 Te 0.5000 0.7573 0.7667  2 Ag 3.07, 1 Dy 3.10, 3 Sn 3.22-3.23
8 Ag 0.0000 0.0000 0.0000  6 Te 3.07-3.15

## Properties
ΔE_f (raw): -4.240 eV per formula unit